CsSr2Os2 (PBE, optimized geometry); M_tot = 0.24 μB/atom; VASP energy = -4.367 eV/atom; calculated formation energy = 0.968 eV/atom
1.0
9.3643 0.0000 0.0000
0.0000 9.3643 0.0000
0.0000 0.0000 3.3474
Cs Sr Os
2 4 4
Direct
0.0000 0.0000 0.0000 Cs
0.5000 0.5000 0.0000 Cs
0.1844 0.3156 0.0000 Sr
0.3156 0.8156 0.0000 Sr
0.6844 0.1844 0.0000 Sr
0.8156 0.6844 0.0000 Sr
0.0876 0.5876 0.5000 Os
0.4124 0.0876 0.5000 Os
0.5876 0.9124 0.5000 Os
0.9124 0.4124 0.5000 Os



CsSrOs3 (PBE, optimized geometry); M_tot = 0.87 μB/atom; VASP energy = -4.098 eV/atom; calculated formation energy = 3.147 eV/atom
1.0
5.0840 0.0000 0.0000
0.0000 5.0840 0.0000
0.0000 0.0000 5.0840
Cs Sr Os
1 1 3
Direct
0.0000 0.0000 0.0000 Cs
0.5000 0.5000 0.5000 Sr
0.0000 0.0000 0.5000 Os
0.0000 0.5000 0.0000 Os
0.5000 0.0000 0.0000 Os



CsTa2Os (PBE, optimized geometry); M_tot = 0.00 μB/atom; VASP energy = -7.408 eV/atom; calculated formation energy = 1.539 eV/atom
1.0
6.7707 0.0000 0.0000
0.0000 6.7707 0.0000
0.0000 0.0000 6.7707
Cs Ta Os
4 8 4
Direct
0.0000 0.0000 0.0000 Cs
0.0000 0.5000 0.5000 Cs
0.5000 0.0000 0.5000 Cs
0.5000 0.5000 0.0000 Cs
0.2500 0.2500 0.2500 Ta
0.2500 0.2500 0.7500 Ta
0.2500 0.7500 0.2500 Ta
0.2500 0.7500 0.7500 Ta
0.7500 0.2500 0.2500 Ta
0.7500 0.2500 0.7500 Ta
0.7500 0.7500 0.2500 Ta
0.7500 0.7500 0.7500 Ta
0.0000 0.0000 0.5000 Os
0.0000 0.5000 0.0000 Os
0.5000 0.0000 0.0000 Os
0.5000 0.5000 0.5000 Os



CsTa3Os (PBE, optimized geometry); M_tot = 0.00 μB/atom; VASP energy = -8.037 eV/atom; calculated formation energy = 1.491 eV/atom; ΔE to the lowest computed polymorph = 0.000 eV per atom
1.0
5.0362 0.0000 0.0000
0.0000 5.0362 0.0000
0.0000 0.0000 5.0362
Cs Ta Os
1 3 1
Direct
0.0000 0.0000 0.0000 Cs
0.0000 0.5000 0.5000 Ta
0.5000 0.0000 0.5000 Ta
0.5000 0.5000 0.0000 Ta
0.5000 0.5000 0.5000 Os



CsTa3Os (PBE, optimized geometry); M_tot = 0.00 μB/atom; VASP energy = -5.866 eV/atom; calculated formation energy = 3.662 eV/atom; ΔE to the lowest computed polymorph = 2.171 eV per atom
1.0
4.9081 0.0000 0.0000
0.0000 4.9081 0.0000
0.0000 0.0000 4.9081
Cs Ta Os
1 3 1
Direct
0.0000 0.0000 0.0000 Cs
0.0000 0.0000 0.5000 Ta
0.0000 0.5000 0.0000 Ta
0.5000 0.0000 0.0000 Ta
0.5000 0.5000 0.5000 Os



CsTc3Os (PBE, optimized geometry); M_tot = 0.94 μB/atom; VASP energy = -6.820 eV/atom; calculated formation energy = 1.816 eV/atom
1.0
4.9184 0.0000 0.0000
0.0000 4.9184 0.0000
0.0000 0.0000 4.9184
Cs Tc Os
1 3 1
Direct
0.0000 0.0000 0.0000 Cs
0.0000 0.5000 0.5000 Tc
0.5000 0.0000 0.5000 Tc
0.5000 0.5000 0.0000 Tc
0.5000 0.5000 0.5000 Os